Here is CrPdO2F after structural relaxation from Alexandria. Energies are from GGA+U.

The value obtained for the volume is 13.20 Å³/atom. The calculation puts the total DFT energy (no corrections) at -26.587 eV/cell. The density comes out at 5.27 g cm⁻³.

It has space group P4/mmm (No. 123), with a = 4.002 Å, b = 4.002 Å, c = 4.120 Å, α = 90.00°, β = 90.00° and γ = 90.00°. The asymmetric unit holds Cr at (0.000, 0.000, 0.000), Pd at (0.500, 0.500, 0.500), O at (0.000, 0.500, 0.500) and F at (0.500, 0.500, 0.000).